(1)
## EuFeC (PBE)

Data for a relaxed EuFeC crystal.

Cell lengths 3.3468, 3.3468, 4.4867 Å; angles 90.00, 90.00, 120.00 degrees
Space group P-6m2 (No. 187)
Symmetry-distinct sites (fractional):
Eu1 0.0000 0.0000 0.0000 x1
Fe1 0.6667 0.3333 0.5000 x1
C1 0.3333 0.6667 0.5000 x1

Summary:
**E above lowest polymorph**: 0 meV/atom
**Energy relative to the elements**: 0.2154 eV per atom

---

(2)
## KBC (PBE)

Data for a relaxed KBC crystal.

Cell lengths 10.353, 5.555, 5.557 Å; angles 90.00, 90.00, 90.00 degrees
Space group Cmce (No. 64)
Symmetry-distinct sites (fractional):
K1 0.184 0.000 0.000 x8
B1 0.000 0.141 0.359 x8
C1 0.000 0.156 0.656 x8

Summary:
**Energy relative to the elements**: 0.1965 eV per atom

---

(3)
## Rb2AgPN (PBE)

Data for a relaxed Rb2AgPN crystal.

Cell lengths 6.601, 6.601, 4.631 Å; angles 90.00, 90.00, 90.00 degrees
Space group P4/mmm (No. 123)
Symmetry-distinct sites (fractional):
Rb1 0.000 0.500 0.000 x2
Ag1 0.000 0.000 0.500 x1
P1 0.000 0.000 0.000 x1
N1 0.500 0.500 0.500 x1

Summary:
**Formation energy without anion corrections**: 726 meV/atom

---

(4)
## ReNiBr2 (PBE)

Data for a relaxed ReNiBr2 crystal.

Cell lengths 6.379, 6.379, 6.379 Å; angles 90.00, 90.00, 90.00 degrees
Space group Fm-3m (No. 225)
Symmetry-distinct sites (fractional):
Re1 0.000 0.000 0.000 x4
Ni1 0.000 0.000 0.500 x4
Br1 0.250 0.250 0.250 x8

Summary:
**Formation energy without anion corrections**: 1208 meV/atom
**E above lowest polymorph**: 878 meV/atom

---

no.,DOS(E_F) (states/eV/f.u.)
1,3.14
2,0.00
3,3.91
4,4.19